This record from Alexandria via LeMat-Bulk describes an optimized crystal structure of TlFeTcO4. The functional is PBE+U.

Output
Volume ... 18.11 Å³ per atom
Size of the total moment ... 12.024 μB/cell
VASP energy ... -6.54 eV/atom

Cell and atoms, written as CIF:
```
data_TlFeTcO4
_chemical_formula_sum 'Tl2 Fe2 Tc2 O8'
_symmetry_space_group_name_H-M 'P 1 21/m 1'
_symmetry_Int_Tables_number 11
_cell_length_a 5.6094
_cell_length_b 5.8837
_cell_length_c 7.9820
_cell_angle_alpha 90.00
_cell_angle_beta 105.72
_cell_angle_gamma 90.00
loop_
_symmetry_equiv_pos_as_xyz
'x,y,z'
'-x,-y,-z'
'-x,y+1/2,-z'
'x,-y+1/2,z'
loop_
_atom_site_label
_atom_site_type_symbol
_atom_site_fract_x
_atom_site_fract_y
_atom_site_fract_z
Tl1 Tl 0.0735 0.2500 0.1519
Fe1 Fe 0.1345 0.7500 0.4888
Tc1 Tc 0.4035 0.2500 0.6921
O1 O 0.1456 0.0273 0.6640
O2 O 0.3413 0.7500 0.1208
O3 O 0.4932 0.2500 0.4869
```